Entry 1:
LaSm7Ho12 PBE relaxed; theoretical density = 7.32 g cm⁻³; DOS(E_F) = 27.0 states/eV per cell; crystal system = cubic; E_form = 649 meV per atom
1.0
3.652 7.250 5.448
-7.661 -3.981 4.586
6.871 -6.815 -1.385
Sm Ho La
7 12 1
direct
0.500 0.500 0.500
0.000 0.500 0.500
0.500 0.000 0.000
0.500 0.500 0.000
0.000 0.500 0.000
0.500 0.000 0.500
0.000 0.000 0.500
0.747 0.493 0.747
0.253 0.747 0.000
0.507 0.253 0.253
0.747 0.747 0.493
0.253 0.253 0.507
0.000 0.253 0.747
0.747 0.000 0.253
0.253 0.507 0.253
0.253 0.000 0.747
0.493 0.747 0.747
0.747 0.253 0.000
0.000 0.747 0.253
0.000 0.000 0.000

---

Entry 2:
La3Sm5Ho3 PBE relaxed; theoretical density = 7.10 g cm⁻³; DOS(E_F) = 20.4 states/eV per cell; crystal system = hexagonal; E_form = 334 meV per atom
1.0
-1.866 -1.759 -2.313
8.587 -7.393 -1.305
-8.007 -1.895 7.899
Sm Ho La
5 3 3
direct
0.500 0.667 0.333
0.500 0.333 0.667
0.500 0.664 0.664
0.500 0.336 0.000
0.500 0.000 0.336
0.500 0.158 0.158
0.500 0.842 0.000
0.500 0.000 0.842
0.000 0.000 0.599
0.000 0.599 0.000
0.000 0.401 0.401

---

Entry 3:
LaSm6Ho2 PBE relaxed; theoretical density = 7.53 g cm⁻³; DOS(E_F) = 13.6 states/eV per cell; crystal system = triclinic; E_form = 19 meV per atom
1.0
-1.296 1.316 3.124
-6.738 3.735 -4.380
0.942 -10.865 7.085
La Sm Ho
1 6 2
direct
0.000 0.000 0.000
0.890 0.556 0.220
0.668 0.664 0.665
0.779 0.107 0.443
0.221 0.893 0.557
0.110 0.444 0.780
0.332 0.336 0.335
0.556 0.225 0.889
0.444 0.775 0.111

---

Entry 4:
La2Sm4Ho PBE relaxed; theoretical density = 7.26 g cm⁻³; DOS(E_F) = 24.5 states/eV per cell; crystal system = monoclinic; E_form = 91 meV per atom
1.0
-9.378 -2.659 1.767
4.717 -4.423 4.074
2.814 8.875 1.354
La Sm Ho
4 8 2
direct
0.542 0.012 0.687
0.280 0.488 0.925
0.817 0.991 0.531
0.577 0.509 0.791
0.859 0.508 0.645
0.135 0.490 0.489
0.428 0.500 0.359
0.246 0.988 0.816
0.007 0.512 0.077
0.678 0.000 0.108
0.101 0.992 0.387
0.395 0.010 0.249
0.974 0.013 0.974
0.711 0.487 0.211

---

Entry 5:
La3Sm5Ho PBE relaxed; theoretical density = 6.70 g cm⁻³; DOS(E_F) = 29.2 states/eV per cell; crystal system = monoclinic; E_form = 405 meV per atom
1.0
-2.178 -6.397 -3.235
5.850 -3.870 -2.633
1.797 -8.065 9.912
Ho La Sm
2 6 10
direct
0.862 0.862 0.263
0.138 0.138 0.737
0.000 0.000 0.500
0.392 0.392 0.213
0.270 0.270 0.466
0.000 0.000 0.000
0.730 0.730 0.534
0.608 0.608 0.787
0.318 0.682 0.000
0.943 0.330 0.223
0.440 0.440 0.624
0.682 0.318 0.000
0.261 0.261 0.970
0.330 0.943 0.223
0.739 0.739 0.030
0.057 0.670 0.777
0.670 0.057 0.777
0.560 0.560 0.376

---

Entry 6:
La8Sm3Ho2 PBE relaxed; theoretical density = 6.82 g cm⁻³; DOS(E_F) = 21.2 states/eV per cell; crystal system = monoclinic; E_form = 147 meV per atom
1.0
-2.408 -5.321 -0.906
9.685 -3.594 -4.636
-3.629 -2.438 8.138
La Sm Ho
8 3 2
direct
0.119 0.842 0.683
0.668 0.061 0.662
0.881 0.158 0.317
0.332 0.939 0.338
0.730 0.422 0.843
0.332 0.399 0.338
0.270 0.578 0.157
0.668 0.601 0.662
0.000 0.742 0.000
0.500 0.000 0.000
0.000 0.258 0.000
0.694 0.674 0.349
0.306 0.326 0.651

---

Entry 7:
LaSm7Ho3 PBE relaxed; theoretical density = 7.42 g cm⁻³; DOS(E_F) = 17.0 states/eV per cell; crystal system = monoclinic; E_form = 227 meV per atom
1.0
-5.191 -1.616 2.307
6.111 -5.467 2.338
4.083 5.281 5.303
Ho Sm La
3 7 1
direct
0.000 0.798 0.202
0.000 0.202 0.798
0.500 0.000 0.000
0.791 0.792 0.792
0.000 0.500 0.500
0.209 0.208 0.208
0.702 0.404 0.001
0.298 0.596 0.999
0.298 0.999 0.596
0.702 0.001 0.404
0.500 0.500 0.500

---

Entry 8:
LaSm2Ho4 PBE relaxed; theoretical density = 7.67 g cm⁻³; DOS(E_F) = 11.3 states/eV per cell; crystal system = tetragonal; E_form = 254 meV per atom
1.0
4.577 0.000 0.000
0.000 4.577 0.000
-2.288 -2.288 11.361
Ho Sm La
4 2 1
direct
0.250 0.750 0.500
0.141 0.141 0.283
0.750 0.250 0.500
0.859 0.859 0.717
0.397 0.397 0.794
0.603 0.603 0.206
0.000 0.000 0.000

---

Entry 9:
LaSm2Ho PBE relaxed; theoretical density = 7.40 g cm⁻³; DOS(E_F) = 5.8 states/eV per cell; crystal system = trigonal; E_form = 22 meV per atom
1.0
3.634 0.000 0.000
1.817 3.147 0.000
1.817 1.049 11.864
Ho Sm La
1 2 1
direct
0.667 0.667 0.000
0.081 0.081 0.758
0.253 0.253 0.242
0.500 0.500 0.500

---

Entry 10:
LaSm4Ho PBE relaxed; theoretical density = 7.11 g cm⁻³; DOS(E_F) = 10.7 states/eV per cell; crystal system = cubic; E_form = 253 meV per atom
1.0
-5.961 2.912 -0.840
-3.743 1.549 5.320
-0.867 6.402 1.728
Ho Sm La
1 4 1
direct
0.000 0.000 0.000
0.626 0.626 0.122
0.122 0.626 0.626
0.626 0.122 0.626
0.626 0.626 0.626
0.250 0.250 0.250

---

Entry 11:
LaSm12Ho5 PBE relaxed; theoretical density = 7.69 g cm⁻³; DOS(E_F) = 26.7 states/eV per cell; crystal system = orthorhombic; E_form = 20 meV per atom
1.0
15.306 -0.006 0.013
7.650 7.651 0.006
-0.004 0.000 5.102
Sm Ho La
12 5 1
direct
0.001 0.664 0.000
0.169 0.332 0.500
0.499 0.332 0.500
0.335 0.664 0.000
0.501 0.668 0.500
0.832 0.000 0.500
0.665 0.336 0.000
0.168 0.000 0.500
0.665 0.000 0.000
0.999 0.336 0.000
0.831 0.668 0.500
0.335 0.000 0.000
0.667 0.667 0.000
0.169 0.662 0.500
0.831 0.338 0.500
0.333 0.333 0.000
0.500 0.000 0.500
0.000 0.000 0.000

---

Entry 12:
LaSm4Ho4 PBE relaxed; theoretical density = 7.84 g cm⁻³; DOS(E_F) = 26.1 states/eV per cell; crystal system = triclinic; E_form = 21 meV per atom
1.0
1.991 8.280 4.256
-7.907 -6.506 -3.426
-2.326 -1.677 10.401
Sm Ho La
8 8 2
direct
0.975 0.890 0.859
0.749 0.001 0.749
0.025 0.110 0.141
0.920 0.666 0.582
0.805 0.223 0.029
0.195 0.777 0.971
0.251 0.999 0.251
0.080 0.334 0.418
0.861 0.443 0.307
0.529 0.112 0.637
0.696 0.781 0.472
0.139 0.557 0.693
0.304 0.219 0.528
0.416 0.669 0.086
0.471 0.888 0.363
0.584 0.331 0.914
0.638 0.553 0.197
0.362 0.447 0.803

---

Entry 13:
La3Sm2Ho5 PBE relaxed; theoretical density = 7.59 g cm⁻³; DOS(E_F) = 31.5 states/eV per cell; crystal system = monoclinic; E_form = 179 meV per atom
1.0
-5.854 -1.095 -7.094
4.241 -4.601 -6.817
-1.795 -4.383 10.218
Ho La Sm
10 6 4
direct
0.974 0.224 0.448
0.854 0.603 0.725
0.371 0.121 0.725
0.026 0.776 0.552
0.275 0.525 0.050
0.470 0.720 0.440
0.530 0.280 0.560
0.629 0.879 0.275
0.146 0.397 0.275
0.725 0.475 0.950
0.979 0.224 0.751
0.728 0.473 0.249
0.767 0.017 0.034
0.021 0.776 0.249
0.233 0.983 0.966
0.272 0.527 0.751
0.530 0.275 0.264
0.234 0.989 0.264
0.766 0.011 0.736
0.470 0.725 0.736

---

Entry 14:
La4Sm2Ho5 PBE relaxed; theoretical density = 7.38 g cm⁻³; DOS(E_F) = 17.8 states/eV per cell; crystal system = monoclinic; E_form = 123 meV per atom
1.0
3.544 0.000 0.000
0.000 8.517 -1.965
-1.772 -4.944 13.664
Ho La Sm
5 4 2
direct
0.188 0.906 0.376
0.868 0.787 0.736
0.500 0.000 0.000
0.132 0.213 0.264
0.812 0.094 0.624
0.590 0.482 0.180
0.410 0.518 0.820
0.041 0.741 0.081
0.959 0.259 0.919
0.274 0.375 0.548
0.726 0.625 0.452

---

Entry 15:
La12SmHo7 PBE relaxed; theoretical density = 6.99 g cm⁻³; DOS(E_F) = 27.2 states/eV per cell; crystal system = trigonal; E_form = 201 meV per atom
1.0
-2.155 -2.478 5.460
-9.424 -0.802 -6.561
8.595 -7.276 -2.389
La Ho Sm
12 7 1
direct
0.092 0.184 0.592
0.908 0.816 0.408
0.430 0.355 0.000
0.570 0.000 0.645
0.075 0.645 0.645
0.499 0.408 0.592
0.501 0.592 0.408
0.907 0.408 0.816
0.093 0.592 0.184
0.570 0.645 0.000
0.925 0.355 0.355
0.430 0.000 0.355
0.115 0.000 0.752
0.363 0.248 0.248
0.637 0.752 0.752
0.500 0.000 0.000
0.885 0.248 0.000
0.115 0.752 0.000
0.885 0.000 0.248
0.000 0.000 0.000

---

Entry 16:
La2Sm3Ho PBE relaxed; theoretical density = 7.03 g cm⁻³; DOS(E_F) = 22.1 states/eV per cell; crystal system = orthorhombic; E_form = 239 meV per atom
1.0
3.446 0.000 0.000
0.000 6.714 0.000
0.000 0.000 18.264
Sm Ho La
6 2 4
direct
0.500 0.776 0.855
0.000 0.276 0.645
0.000 0.000 0.000
0.000 0.724 0.355
0.500 0.500 0.500
0.500 0.224 0.145
0.500 0.500 0.000
0.000 0.000 0.500
0.500 0.272 0.815
0.500 0.728 0.185
0.000 0.772 0.685
0.000 0.228 0.315

---

Entry 17:
La2Sm4Ho5 PBE relaxed; theoretical density = 7.67 g cm⁻³; DOS(E_F) = 16.1 states/eV per cell; crystal system = monoclinic; E_form = 72 meV per atom
1.0
3.489 0.000 -0.659
-0.263 11.690 -1.394
-0.104 0.347 9.016
Ho Sm La
5 4 2
direct
0.500 0.000 0.000
0.094 0.540 0.188
0.824 0.935 0.647
0.906 0.460 0.812
0.176 0.065 0.353
0.360 0.201 0.719
0.033 0.255 0.066
0.640 0.799 0.281
0.967 0.745 0.934
0.715 0.349 0.430
0.285 0.651 0.570

---

Entry 18:
La2SmHo2 PBE relaxed; theoretical density = 6.92 g cm⁻³; DOS(E_F) = 17.1 states/eV per cell; crystal system = tetragonal; E_form = 468 meV per atom
1.0
-9.809 -1.388 -3.942
3.144 4.176 -9.293
4.159 -4.308 5.587
La Ho Sm
4 4 2
direct
0.609 0.891 0.000
0.891 0.391 0.000
0.391 0.109 0.000
0.109 0.609 0.000
0.310 0.810 0.000
0.690 0.190 0.000
0.810 0.690 0.000
0.190 0.310 0.000
0.250 0.250 0.500
0.750 0.750 0.500

---

Entry 19:
La2SmHo PBE relaxed; theoretical density = 7.10 g cm⁻³; DOS(E_F) = 6.5 states/eV per cell; crystal system = trigonal; E_form = 25 meV per atom
1.0
3.670 0.000 0.000
1.835 3.178 0.000
1.835 1.059 11.892
Ho La Sm
1 2 1
direct
0.668 0.668 0.997
0.251 0.251 0.247
0.082 0.082 0.753
0.499 0.499 0.503

---

Entry 20:
La9Sm2Ho PBE relaxed; theoretical density = 6.68 g cm⁻³; DOS(E_F) = 17.9 states/eV per cell; crystal system = tetragonal; E_form = 7 meV per atom
1.0
-1.229 -4.000 -3.119
-0.426 -3.117 4.164
-15.167 3.707 1.223
La Ho Sm
9 1 2
direct
0.000 0.500 0.500
0.500 0.000 0.834
0.500 0.000 0.166
0.500 0.500 0.667
0.500 0.500 0.333
0.000 0.500 0.834
0.500 0.500 0.000
0.500 0.000 0.500
0.000 0.500 0.166
0.000 0.000 0.000
0.000 0.000 0.667
0.000 0.000 0.333